(1)
Entry from the Alexandria database: crystalline MgFeMo2 at its relaxed geometry (PBE). Values from VASP.

Geometry as Quantum ESPRESSO input:
```
&SYSTEM
  ibrav = 0, nat = 4, ntyp = 3
/
ATOMIC_SPECIES
Mg 24.30 Mg.upf
Fe 55.84 Fe.upf
Mo 95.94 Mo.upf
ATOMIC_POSITIONS crystal
Mg 0.000 0.000 0.000
Fe 0.745 0.245 0.500
Mo 0.278 0.778 0.500
Mo 0.515 0.515 0.000
CELL_PARAMETERS angstrom
-1.582 2.267 4.262
1.582 -2.267 4.262
1.582 2.267 -4.262
```

calculated total energy	-7.608	eV per atom
M_tot	1.866	μB/f.u.
V	15.29	Å³/atom
energy of formation	0.322	eV per atom



(2)
Entry from the Alexandria database: crystalline Pm2Ho6Tm3 at its relaxed geometry (PBE). Values from VASP.

Geometry as Quantum ESPRESSO input:
```
&SYSTEM
  ibrav = 0, nat = 11, ntyp = 3
/
ATOMIC_SPECIES
Pm 145.00 Pm.upf
Ho 164.93 Ho.upf
Tm 168.93 Tm.upf
ATOMIC_POSITIONS crystal
Pm 0.046 0.046 0.000
Pm 0.954 0.954 0.000
Ho 0.122 0.622 0.500
Ho 0.196 0.196 0.000
Ho 0.378 0.878 0.500
Ho 0.622 0.122 0.500
Ho 0.804 0.804 0.000
Ho 0.878 0.378 0.500
Tm 0.299 0.299 0.000
Tm 0.500 0.500 0.000
Tm 0.701 0.701 0.000
CELL_PARAMETERS angstrom
-2.352 2.352 16.489
2.352 -2.352 16.489
2.352 2.352 -16.489
```

calculated total energy	-4.300	eV per atom
M_tot	0.001	μB/f.u.
ΔE to the lowest computed polymorph	0.095	eV/atom
V	33.16	Å³/atom
energy of formation	0.281	eV per atom



(3)
Entry from the Alexandria database: crystalline Na2CoCuSe at its relaxed geometry (PBE). Values from VASP.

Geometry as Quantum ESPRESSO input:
```
&SYSTEM
  ibrav = 0, nat = 5, ntyp = 4
/
ATOMIC_SPECIES
Na 22.99 Na.upf
Co 58.93 Co.upf
Cu 63.55 Cu.upf
Se 78.96 Se.upf
ATOMIC_POSITIONS crystal
Na 0.000 0.500 0.000
Na 0.500 0.000 0.000
Co 0.000 0.000 0.500
Cu 0.500 0.500 0.000
Se 0.500 0.500 0.500
CELL_PARAMETERS angstrom
5.601 0.000 0.000
0.000 5.601 0.000
0.000 0.000 4.352
```

calculated total energy	-2.948	eV per atom
M_tot	2.029	μB/f.u.
V	27.31	Å³/atom
raw formation energy	0.517	eV per atom



(4)
Entry from the Alexandria database: crystalline Mg3ZnRh2 at its relaxed geometry (PBE). Values from VASP.

Geometry as Quantum ESPRESSO input:
```
&SYSTEM
  ibrav = 0, nat = 6, ntyp = 3
/
ATOMIC_SPECIES
Mg 24.30 Mg.upf
Zn 65.41 Zn.upf
Rh 102.91 Rh.upf
ATOMIC_POSITIONS crystal
Mg 0.000 0.000 0.000
Mg 0.325 0.675 0.000
Mg 0.675 0.325 0.000
Zn 0.500 0.500 0.500
Rh 0.156 0.844 0.500
Rh 0.844 0.156 0.500
CELL_PARAMETERS angstrom
2.097 -6.205 0.000
2.097 6.205 0.000
0.000 0.000 3.636
```

calculated total energy	-3.872	eV per atom
M_tot	0.000	μB/f.u.
ΔE to the lowest computed polymorph	0.000	eV/atom
V	15.77	Å³/atom
energy of formation	-0.412	eV per atom



(5)
Entry from the Alexandria database: crystalline Pr9DyTm2 at its relaxed geometry (PBE). Values from VASP.

Geometry as Quantum ESPRESSO input:
```
&SYSTEM
  ibrav = 0, nat = 12, ntyp = 3
/
ATOMIC_SPECIES
Pr 140.91 Pr.upf
Dy 162.50 Dy.upf
Tm 168.93 Tm.upf
ATOMIC_POSITIONS crystal
Pr 0.000 0.000 0.000
Pr 0.000 0.000 0.334
Pr 0.000 0.000 0.666
Pr 0.000 0.500 0.167
Pr 0.000 0.500 0.500
Pr 0.000 0.500 0.833
Pr 0.500 0.000 0.167
Pr 0.500 0.000 0.500
Pr 0.500 0.000 0.833
Dy 0.500 0.500 0.000
Tm 0.500 0.500 0.334
Tm 0.500 0.500 0.666
CELL_PARAMETERS angstrom
5.174 0.000 0.000
0.000 5.174 0.000
0.000 0.000 15.526
```

calculated total energy	-4.700	eV per atom
M_tot	0.000	μB/f.u.
V	34.64	Å³/atom
energy of formation	0.014	eV per atom



(6)
Entry from the Alexandria database: crystalline Cr2PSe at its relaxed geometry (PBE). Values from VASP.

Geometry as Quantum ESPRESSO input:
```
&SYSTEM
  ibrav = 0, nat = 4, ntyp = 3
/
ATOMIC_SPECIES
Cr 52.00 Cr.upf
P 30.97 P.upf
Se 78.96 Se.upf
ATOMIC_POSITIONS crystal
Cr 0.000 0.000 0.000
Cr 0.262 0.262 0.262
P 0.728 0.728 0.728
Se 0.533 0.533 0.533
CELL_PARAMETERS angstrom
1.447 0.835 9.045
-1.447 0.835 9.045
0.000 -1.670 9.045
```

calculated total energy	-6.940	eV per atom
M_tot	0.000	μB/f.u.
ΔE to the lowest computed polymorph	0.338	eV/atom
V	16.39	Å³/atom
raw formation energy	0.095	eV per atom



(7)
Entry from the Alexandria database: crystalline La6Tb3Pu at its relaxed geometry (PBE). Values from VASP.

Geometry as Quantum ESPRESSO input:
```
&SYSTEM
  ibrav = 0, nat = 20, ntyp = 3
/
ATOMIC_SPECIES
La 138.91 La.upf
Tb 158.93 Tb.upf
Pu 244.00 Pu.upf
ATOMIC_POSITIONS crystal
La 0.040 0.161 0.057
La 0.040 0.339 0.557
La 0.207 0.066 0.745
La 0.207 0.434 0.245
La 0.404 0.137 0.415
La 0.404 0.363 0.915
La 0.596 0.637 0.085
La 0.596 0.863 0.585
La 0.793 0.566 0.755
La 0.793 0.934 0.255
La 0.960 0.661 0.443
La 0.960 0.839 0.943
Tb 0.282 0.687 0.763
Tb 0.282 0.813 0.263
Tb 0.500 0.000 0.000
Tb 0.500 0.500 0.500
Tb 0.718 0.187 0.737
Tb 0.718 0.313 0.237
Pu 0.000 0.000 0.500
Pu 0.000 0.500 0.000
CELL_PARAMETERS angstrom
6.757 0.000 0.000
0.000 9.908 0.000
-1.064 0.000 10.511
```

calculated total energy	-5.565	eV per atom
M_tot	6.096	μB/f.u.
V	35.19	Å³/atom
energy of formation	0.214	eV per atom



(8)
Entry from the Alexandria database: crystalline Mo2IrOs at its relaxed geometry (PBE). Values from VASP.

Geometry as Quantum ESPRESSO input:
```
&SYSTEM
  ibrav = 0, nat = 4, ntyp = 3
/
ATOMIC_SPECIES
Mo 95.94 Mo.upf
Ir 192.22 Ir.upf
Os 190.23 Os.upf
ATOMIC_POSITIONS crystal
Mo 0.000 0.000 0.000
Mo 0.000 0.500 0.345
Ir 0.500 0.000 0.498
Os 0.500 0.500 0.849
CELL_PARAMETERS angstrom
2.788 0.000 0.000
0.000 4.468 0.000
0.000 0.000 4.831
```

calculated total energy	-10.571	eV per atom
M_tot	0.000	μB/f.u.
ΔE to the lowest computed polymorph	0.000	eV/atom
V	15.05	Å³/atom
energy of formation	-0.132	eV per atom



(9)
Entry from the Alexandria database: crystalline TlTc3W at its relaxed geometry (PBE). Values from VASP.

Geometry as Quantum ESPRESSO input:
```
&SYSTEM
  ibrav = 0, nat = 5, ntyp = 3
/
ATOMIC_SPECIES
Tl 204.38 Tl.upf
Tc 98.00 Tc.upf
W 183.84 W.upf
ATOMIC_POSITIONS crystal
Tl 0.000 0.000 0.000
Tc 0.000 0.000 0.500
Tc 0.000 0.500 0.000
Tc 0.500 0.000 0.000
W 0.500 0.500 0.500
CELL_PARAMETERS angstrom
4.781 0.000 0.000
0.000 4.781 0.000
0.000 0.000 4.781
```

calculated total energy	-6.254	eV per atom
M_tot	0.001	μB/f.u.
ΔE to the lowest computed polymorph	1.401	eV/atom
V	21.85	Å³/atom
energy of formation	3.030	eV per atom



(10)
Entry from the Alexandria database: crystalline GePPd at its relaxed geometry (PBE). Values from VASP.

Geometry as Quantum ESPRESSO input:
```
&SYSTEM
  ibrav = 0, nat = 3, ntyp = 3
/
ATOMIC_SPECIES
Ge 72.64 Ge.upf
P 30.97 P.upf
Pd 106.42 Pd.upf
ATOMIC_POSITIONS crystal
Ge 0.000 0.000 0.000
P 0.783 0.783 0.422
Pd 0.398 0.398 0.262
CELL_PARAMETERS angstrom
3.326 -2.157 0.000
3.326 2.157 0.000
-1.295 0.000 4.004
```

calculated total energy	-5.203	eV per atom
M_tot	0.000	μB/f.u.
ΔE to the lowest computed polymorph	0.087	eV/atom
V	19.15	Å³/atom
energy of formation	-0.129	eV per atom



(11)
Entry from the Alexandria database: crystalline CsSiH6 at its relaxed geometry (PBE). Values from VASP.

Geometry as Quantum ESPRESSO input:
```
&SYSTEM
  ibrav = 0, nat = 8, ntyp = 3
/
ATOMIC_SPECIES
Cs 132.91 Cs.upf
Si 28.09 Si.upf
H 1.01 H.upf
ATOMIC_POSITIONS crystal
Cs 0.000 0.000 0.000
Si 0.500 0.500 0.500
H 0.146 0.528 0.528
H 0.472 0.472 0.854
H 0.472 0.854 0.472
H 0.528 0.146 0.528
H 0.528 0.528 0.146
H 0.854 0.472 0.472
CELL_PARAMETERS angstrom
2.941 1.698 3.265
-2.941 1.698 3.265
0.000 -3.396 3.265
```

calculated total energy	-3.226	eV per atom
M_tot	0.000	μB/f.u.
V	12.23	Å³/atom



(12)
Entry from the Alexandria database: crystalline LaVSeI2 at its relaxed geometry (PBE). Values from VASP.

Geometry as Quantum ESPRESSO input:
```
&SYSTEM
  ibrav = 0, nat = 5, ntyp = 4
/
ATOMIC_SPECIES
La 138.91 La.upf
V 50.94 V.upf
Se 78.96 Se.upf
I 126.90 I.upf
ATOMIC_POSITIONS crystal
La 0.000 0.000 0.000
V 0.500 0.500 0.500
Se 0.500 0.500 0.000
I 0.000 0.500 0.500
I 0.500 0.000 0.500
CELL_PARAMETERS angstrom
5.434 0.000 0.000
0.000 5.434 0.000
0.000 0.000 5.048
```

calculated total energy	-4.650	eV per atom
M_tot	3.498	μB/f.u.
V	29.82	Å³/atom
raw formation energy	-0.524	eV per atom



(13)
Entry from the Alexandria database: crystalline KLa2PdBr at its relaxed geometry (PBE). Values from VASP.

Geometry as Quantum ESPRESSO input:
```
&SYSTEM
  ibrav = 0, nat = 5, ntyp = 4
/
ATOMIC_SPECIES
K 39.10 K.upf
La 138.91 La.upf
Pd 106.42 Pd.upf
Br 79.90 Br.upf
ATOMIC_POSITIONS crystal
K 0.000 0.000 0.000
La 0.000 0.500 0.000
La 0.500 0.000 0.000
Pd 0.500 0.500 0.500
Br 0.000 0.000 0.500
CELL_PARAMETERS angstrom
5.925 0.000 0.000
0.000 5.925 0.000
0.000 0.000 5.293
```

calculated total energy	-2.820	eV per atom
M_tot	0.001	μB/f.u.
V	37.16	Å³/atom
raw formation energy	0.743	eV per atom



(14)
Entry from the Alexandria database: crystalline KLa2Pb at its relaxed geometry (PBE). Values from VASP.

Geometry as Quantum ESPRESSO input:
```
&SYSTEM
  ibrav = 0, nat = 4, ntyp = 3
/
ATOMIC_SPECIES
K 39.10 K.upf
La 138.91 La.upf
Pb 207.20 Pb.upf
ATOMIC_POSITIONS crystal
K 0.000 0.000 0.000
La 0.221 0.221 0.221
La 0.779 0.779 0.779
Pb 0.500 0.500 0.500
CELL_PARAMETERS angstrom
2.276 1.314 11.056
-2.276 1.314 11.056
0.000 -2.628 11.056
```

calculated total energy	-3.690	eV per atom
M_tot	1.597	μB/f.u.
V	49.58	Å³/atom
energy of formation	-0.024	eV per atom



(15)
Entry from the Alexandria database: crystalline Na2Ac3Ge3 at its relaxed geometry (PBE). Values from VASP.

Geometry as Quantum ESPRESSO input:
```
&SYSTEM
  ibrav = 0, nat = 16, ntyp = 3
/
ATOMIC_SPECIES
Na 22.99 Na.upf
Ac 227.00 Ac.upf
Ge 72.64 Ge.upf
ATOMIC_POSITIONS crystal
Na 0.333 0.667 0.000
Na 0.333 0.667 0.500
Na 0.667 0.333 0.000
Na 0.667 0.333 0.500
Ac 0.000 0.305 0.250
Ac 0.000 0.695 0.750
Ac 0.305 0.000 0.250
Ac 0.305 0.305 0.750
Ac 0.695 0.000 0.750
Ac 0.695 0.695 0.250
Ge 0.000 0.358 0.750
Ge 0.000 0.642 0.250
Ge 0.358 0.000 0.750
Ge 0.358 0.358 0.250
Ge 0.642 0.000 0.250
Ge 0.642 0.642 0.750
CELL_PARAMETERS angstrom
9.525 0.000 0.000
-4.763 8.249 0.000
0.000 0.000 6.487
```

calculated total energy	-4.074	eV per atom
M_tot	0.000	μB/f.u.
ΔE to the lowest computed polymorph	0.000	eV/atom
V	31.86	Å³/atom
energy of formation	-0.472	eV per atom



(16)
Entry from the Alexandria database: crystalline PrNdY5Tm2 at its relaxed geometry (PBE). Values from VASP.

Geometry as Quantum ESPRESSO input:
```
&SYSTEM
  ibrav = 0, nat = 18, ntyp = 4
/
ATOMIC_SPECIES
Pr 140.91 Pr.upf
Nd 144.24 Nd.upf
Y 88.91 Y.upf
Tm 168.93 Tm.upf
ATOMIC_POSITIONS crystal
Pr 0.198 0.802 0.500
Pr 0.802 0.198 0.000
Nd 0.416 0.584 0.928
Nd 0.584 0.416 0.428
Y 0.016 0.984 0.508
Y 0.278 0.722 0.802
Y 0.299 0.701 0.192
Y 0.389 0.611 0.510
Y 0.477 0.523 0.220
Y 0.523 0.477 0.720
Y 0.611 0.389 0.010
Y 0.701 0.299 0.692
Y 0.722 0.278 0.302
Y 0.984 0.016 0.008
Tm 0.112 0.888 0.218
Tm 0.113 0.887 0.806
Tm 0.887 0.113 0.306
Tm 0.888 0.112 0.718
CELL_PARAMETERS angstrom
2.830 -10.082 0.000
2.830 10.082 0.000
0.000 0.000 10.515
```

calculated total energy	-5.484	eV per atom
M_tot	0.000	μB/f.u.
V	33.34	Å³/atom
energy of formation	0.161	eV per atom



(17)
Entry from the Alexandria database: crystalline ThMgCl6 at its relaxed geometry (PBE). Values from VASP.

Geometry as Quantum ESPRESSO input:
```
&SYSTEM
  ibrav = 0, nat = 8, ntyp = 3
/
ATOMIC_SPECIES
Th 232.04 Th.upf
Mg 24.30 Mg.upf
Cl 35.45 Cl.upf
ATOMIC_POSITIONS crystal
Th 0.000 0.000 0.000
Mg 0.500 0.500 0.500
Cl 0.129 0.404 0.265
Cl 0.255 0.255 0.744
Cl 0.404 0.129 0.265
Cl 0.596 0.871 0.735
Cl 0.745 0.745 0.256
Cl 0.871 0.596 0.735
CELL_PARAMETERS angstrom
3.263 -6.378 0.000
3.263 6.378 0.000
-1.887 0.000 6.242
```

calculated total energy	-4.517	eV per atom
M_tot	0.000	μB/f.u.
ΔE to the lowest computed polymorph	0.000	eV/atom
V	32.48	Å³/atom
raw formation energy	-2.005	eV per atom



(18)
Entry from the Alexandria database: crystalline Er2TlAgTe4 at its relaxed geometry (PBE). Values from VASP.

Geometry as Quantum ESPRESSO input:
```
&SYSTEM
  ibrav = 0, nat = 16, ntyp = 4
/
ATOMIC_SPECIES
Er 167.26 Er.upf
Tl 204.38 Tl.upf
Ag 107.87 Ag.upf
Te 127.60 Te.upf
ATOMIC_POSITIONS crystal
Er 0.129 0.871 0.572
Er 0.129 0.871 0.928
Er 0.871 0.129 0.072
Er 0.871 0.129 0.428
Tl 0.369 0.631 0.750
Tl 0.631 0.369 0.250
Ag 0.340 0.660 0.250
Ag 0.660 0.340 0.750
Te 0.045 0.955 0.750
Te 0.231 0.769 0.104
Te 0.231 0.769 0.396
Te 0.500 0.500 0.000
Te 0.500 0.500 0.500
Te 0.769 0.231 0.604
Te 0.769 0.231 0.896
Te 0.955 0.045 0.250
CELL_PARAMETERS angstrom
2.199 -7.422 0.000
2.199 7.422 0.000
0.000 0.000 15.708
```

calculated total energy	-4.303	eV per atom
M_tot	0.000	μB/f.u.
V	32.04	Å³/atom
raw formation energy	-0.939	eV per atom